(1)
Compound: TaReAu
Source: Alexandria via LeMat-Bulk
Functional: GGA-PBE
Structure: optimized geometry

Cell and atoms, written as POSCAR:
```
TaReAu
1.0
-1.344 2.861 -3.067
-3.407 -1.002 -2.604
-3.836 2.107 0.484
Au Ta Re
1 1 1
direct
0.500 0.500 0.500
0.000 0.000 0.000
0.250 0.250 0.250
```

Summary:
Calculated formation energy, meV per atom: 758
E above lowest polymorph, kcal/mol of atoms: 14.51
Symmetry: No. 216

(2)
Compound: Ta2ReAu
Source: Alexandria via LeMat-Bulk
Functional: GGA-PBE
Structure: optimized geometry

Cell and atoms, written as POSCAR:
```
Ta2ReAu
1.0
4.907 -0.020 0.013
4.024 2.807 0.013
0.771 0.241 4.969
Ta Au Re
2 1 1
direct
0.997 0.997 0.997
0.503 0.503 0.503
0.250 0.250 0.250
0.750 0.750 0.750
```

Summary:
Calculated formation energy, meV per atom: 169
E above lowest polymorph, kcal/mol of atoms: 6.34
Symmetry: No. 12

(3)
Compound: Ta2ReAu
Source: Alexandria via LeMat-Bulk
Functional: GGA-PBE
Structure: optimized geometry

Cell and atoms, written as POSCAR:
```
Ta2ReAu
1.0
-1.381 1.456 -1.924
-2.397 -1.082 0.902
-0.885 6.751 5.745
Ta Au Re
2 1 1
direct
0.000 0.000 0.995
0.500 0.500 0.253
0.000 0.000 0.505
0.500 0.500 0.747
```

Summary:
Calculated formation energy, meV per atom: 185
E above lowest polymorph, kcal/mol of atoms: 6.71
Symmetry: No. 99

(4)
Compound: Ta2ReAu
Source: Alexandria via LeMat-Bulk
Functional: GGA-PBE
Structure: optimized geometry

Cell and atoms, written as POSCAR:
```
Ta2ReAu
1.0
-0.418 -3.596 2.021
2.231 0.678 1.669
-1.921 3.043 5.018
Ta Au Re
2 1 1
direct
0.000 0.560 0.515
0.000 0.940 0.985
0.500 0.250 0.250
0.500 0.750 0.750
```

Summary:
Calculated formation energy, meV per atom: -41
E above lowest polymorph, kcal/mol of atoms: 1.52
Symmetry: No. 10

(5)
Compound: Ta2ReAu
Source: Alexandria via LeMat-Bulk
Functional: GGA-PBE
Structure: optimized geometry

Cell and atoms, written as POSCAR:
```
Ta2ReAu
1.0
4.861 -0.028 -0.058
1.249 4.698 0.058
-3.021 -2.380 2.974
Ta Au Re
2 1 1
direct
0.000 0.000 0.000
0.500 0.500 0.000
0.750 0.250 0.500
0.250 0.750 0.500
```

Summary:
Calculated formation energy, meV per atom: -56
E above lowest polymorph, kcal/mol of atoms: 1.16
Symmetry: No. 139

(6)
Compound: Ta2ReAu
Source: Alexandria via LeMat-Bulk
Functional: GGA-PBE
Structure: optimized geometry

Cell and atoms, written as POSCAR:
```
Ta2ReAu
1.0
3.189 0.000 0.000
0.000 3.189 0.000
0.000 0.000 6.835
Ta Re Au
2 1 1
direct
0.000 0.000 0.980
0.000 0.000 0.520
0.500 0.500 0.750
0.500 0.500 0.250
```

Summary:
Calculated formation energy, meV per atom: -106
E above lowest polymorph, kcal/mol of atoms: 0.00
Symmetry: No. 123

(7)
Compound: TaReAu
Source: Alexandria via LeMat-Bulk
Functional: GGA-PBE
Structure: optimized geometry

Cell and atoms, written as POSCAR:
```
TaReAu
1.0
4.637 0.000 0.000
-2.318 4.016 0.000
0.000 0.000 2.715
Au Ta Re
1 1 1
direct
0.000 0.000 0.960
0.333 0.667 0.675
0.667 0.333 0.365
```

Summary:
Calculated formation energy, meV per atom: 192
E above lowest polymorph, kcal/mol of atoms: 1.46
Symmetry: No. 156

(8)
Compound: TaReAu
Source: Alexandria via LeMat-Bulk
Functional: GGA-PBE
Structure: optimized geometry

Cell and atoms, written as POSCAR:
```
TaReAu
1.0
-1.986 -4.328 -2.115
-0.123 -4.726 2.190
-1.041 5.023 0.915
Au Re Ta
1 1 1
direct
0.998 0.998 0.000
0.681 0.681 0.000
0.320 0.320 0.000
```

Summary:
Calculated formation energy, meV per atom: 129
E above lowest polymorph, kcal/mol of atoms: 0.00
Symmetry: No. 107

Results for volume: 20.13; 17.20; 17.22; 17.21; 17.01; 17.37; 16.85; 17.17 (in Å³/atom, following the order of the records).